Computed, not measured: InCoAg2 after structural relaxation at the PBE level of DFT.

abc: 5.157 5.157 5.157
angles: 134.67 134.67 66.04
Fractional positions:
In 0.000 0.000 0.000
Co 0.500 0.500 0.000
Ag 0.250 0.750 0.500
Ag 0.750 0.250 0.500

## Properties
Energy of formation   0.256 eV/atom
Final energy   -3.63 eV per atom
Space-group type   No. 139

***

Computed, not measured: BaCa2BiO after structural relaxation at the PBE level of DFT.

abc: 4.963 4.963 5.654
angles: 90.00 90.00 90.00
Fractional positions:
Ba 0.000 0.000 0.000
Ca 0.000 0.500 0.500
Ca 0.500 0.000 0.500
Bi 0.500 0.500 0.000
O 0.000 0.000 0.500

## Properties
Formation energy (no corrections)   -1456 meV/atom
Final energy   -4.41 eV per atom
Space-group type   No. 123